{"formula": "Tb2GdTm", "functional": "GGA-PBE", "state": "relaxed", "formation_enthalpy_0k_kj_per_mol_atoms": 2, "sg": "No. 123", "m_tot_mub_per_cell": 7.12, "cell": [[-4.618, 0.330, -1.944], [-0.367, -4.994, 0.023], [-1.932, 0.163, 4.617]], "species": ["Gd", "Tm", "Tb", "Tb"], "fractional_positions": [[0.500, 0.500, 0.500], [0.500, 0.000, 0.000], [0.000, 0.000, 0.500], [0.000, 0.500, 0.000]]}

{"formula": "TbGdTm2", "functional": "GGA-PBE", "state": "relaxed", "formation_enthalpy_0k_kj_per_mol_atoms": 3, "sg": "No. 123", "m_tot_mub_per_cell": 7.30, "cell": [[-0.171, 2.831, -2.103], [-3.235, -0.965, -1.036], [-3.964, 5.293, 7.447]], "species": ["Gd", "Tm", "Tm", "Tb"], "fractional_positions": [[0.500, 0.500, 0.000], [0.000, 0.000, 0.749], [0.000, 0.000, 0.251], [0.500, 0.500, 0.500]]}

{"formula": "Tb2GdTm", "functional": "GGA-PBE", "state": "relaxed", "formation_enthalpy_0k_kj_per_mol_atoms": 12, "sg": "No. 225", "m_tot_mub_per_cell": 8.92, "cell": [[5.656, 0.000, 0.000], [2.828, 4.899, 0.000], [2.828, 1.633, 4.618]], "species": ["Gd", "Tm", "Tb", "Tb"], "fractional_positions": [[0.000, 0.000, 0.000], [0.500, 0.500, 0.500], [0.250, 0.250, 0.250], [0.750, 0.750, 0.750]]}

{"formula": "TbGd2Tm", "functional": "GGA-PBE", "state": "relaxed", "formation_enthalpy_0k_kj_per_mol_atoms": 3, "sg": "No. 123", "m_tot_mub_per_cell": 14.43, "cell": [[3.551, 0.000, 0.000], [0.000, 3.551, 0.000], [0.000, 0.000, 10.034]], "species": ["Gd", "Gd", "Tm", "Tb"], "fractional_positions": [[0.000, 0.000, 0.752], [0.000, 0.000, 0.248], [0.500, 0.500, 0.000], [0.500, 0.500, 0.500]]}

{"formula": "TbGdTm2", "functional": "GGA-PBE", "state": "relaxed", "formation_enthalpy_0k_kj_per_mol_atoms": 2, "sg": "No. 123", "m_tot_mub_per_cell": 7.13, "cell": [[-3.407, -2.835, 2.219], [-1.498, -1.692, -4.461], [3.309, -3.737, 0.306]], "species": ["Gd", "Tm", "Tm", "Tb"], "fractional_positions": [[0.500, 0.000, 0.000], [0.000, 0.000, 0.500], [0.000, 0.500, 0.000], [0.500, 0.500, 0.500]]}

{"formula": "TbGdTm2", "functional": "GGA-PBE", "state": "relaxed", "formation_enthalpy_0k_kj_per_mol_atoms": 11, "sg": "No. 225", "m_tot_mub_per_cell": 7.90, "cell": [[-3.481, 0.512, 4.389], [-1.583, -4.564, 2.882], [1.917, -0.834, 5.222]], "species": ["Gd", "Tm", "Tm", "Tb"], "fractional_positions": [[0.000, 0.000, 0.000], [0.250, 0.250, 0.250], [0.750, 0.750, 0.750], [0.500, 0.500, 0.500]]}

{"formula": "TbGdTm2", "functional": "GGA-PBE", "state": "relaxed", "formation_enthalpy_0k_kj_per_mol_atoms": 2, "sg": "No. 166", "m_tot_mub_per_cell": 7.26, "cell": [[3.532, 0.000, 0.000], [1.766, 3.059, 0.000], [1.766, 1.020, 11.480]], "species": ["Gd", "Tm", "Tm", "Tb"], "fractional_positions": [[0.500, 0.500, 0.500], [0.750, 0.750, 0.751], [0.250, 0.250, 0.249], [0.000, 0.000, 0.000]]}

{"formula": "TbGd2Tm", "functional": "GGA-PBE", "state": "relaxed", "formation_enthalpy_0k_kj_per_mol_atoms": 3, "sg": "No. 166", "m_tot_mub_per_cell": 14.55, "cell": [[3.551, 0.000, 0.000], [1.775, 3.075, 0.000], [1.775, 1.025, 11.580]], "species": ["Gd", "Gd", "Tm", "Tb"], "fractional_positions": [[0.749, 0.749, 0.752], [0.251, 0.251, 0.248], [0.000, 0.000, 0.000], [0.500, 0.500, 0.500]]}

{"formula": "TbGdYTm", "functional": "GGA-PBE", "state": "relaxed", "formation_enthalpy_0k_kj_per_mol_atoms": 11, "sg": "No. 216", "m_tot_mub_per_cell": 8.28, "cell": [[5.662, 0.000, 0.000], [2.831, 4.903, 0.000], [2.831, 1.634, 4.623]], "species": ["Gd", "Y", "Tm", "Tb"], "fractional_positions": [[0.000, 0.000, 0.000], [0.750, 0.750, 0.750], [0.250, 0.250, 0.250], [0.500, 0.500, 0.500]]}

{"formula": "TbGdTmZr", "functional": "GGA-PBE", "state": "relaxed", "formation_enthalpy_0k_kj_per_mol_atoms": 20, "sg": "No. 216", "m_tot_mub_per_cell": 5.18, "cell": [[-1.853, 0.398, -5.143], [0.406, -4.281, -3.398], [-4.502, -2.737, -1.510]], "species": ["Gd", "Tm", "Tb", "Zr"], "fractional_positions": [[0.250, 0.250, 0.250], [0.500, 0.500, 0.500], [0.000, 0.000, 0.000], [0.750, 0.750, 0.750]]}

{"formula": "Tb2GdV", "functional": "GGA-PBE", "state": "relaxed", "formation_enthalpy_0k_kj_per_mol_atoms": 29, "sg": "No. 225", "m_tot_mub_per_cell": 3.71, "cell": [[-2.816, -1.649, -4.261], [-4.987, -1.875, 0.642], [-4.190, 2.875, -1.723]], "species": ["Gd", "Tb", "Tb", "V"], "fractional_positions": [[0.500, 0.500, 0.500], [0.250, 0.250, 0.250], [0.750, 0.750, 0.750], [0.000, 0.000, 0.000]]}

{"formula": "TbGdV4", "functional": "GGA-PBE", "state": "relaxed", "formation_enthalpy_0k_kj_per_mol_atoms": 36, "sg": "No. 216", "m_tot_mub_per_cell": 7.62, "cell": [[-5.148, 1.306, -0.881], [-3.832, -1.748, 3.353], [-2.496, 3.466, 3.277]], "species": ["Gd", "Tb", "V", "V", "V", "V"], "fractional_positions": [[0.250, 0.250, 0.250], [0.000, 0.000, 0.000], [0.623, 0.623, 0.130], [0.623, 0.130, 0.623], [0.623, 0.623, 0.623], [0.130, 0.623, 0.623]]}